Compound: MnCr2Ni3P6O24
Source: Alexandria via LeMat-Bulk
Functional: PBEsol
Structure: relaxed

CIF file:
```
data_MnCr2Ni3P6O24
_space_group_name_H-M_alt 'R 3'
_space_group_IT_number 146
_space_group_name_Hall 'R 3'
_cell_length_a 8.4284
_cell_length_b 8.4284
_cell_length_c 19.6025
_cell_angle_alpha 90.00
_cell_angle_beta 90.00
_cell_angle_gamma 120.00
loop_
_atom_site_label
_atom_site_type_symbol
_atom_site_fract_x
_atom_site_fract_y
_atom_site_fract_z
Mn1 Mn 0.0000 0.0000 0.0000
Cr1 Cr 0.0000 0.0000 0.1422
Cr2 Cr 0.0000 0.0000 0.6423
Ni1 Ni 0.0000 0.0000 0.2818
Ni2 Ni 0.0000 0.0000 0.5014
Ni3 Ni 0.0000 0.0000 0.7812
P1 P 0.9997 0.2920 0.8908
P2 P 0.0004 0.7075 0.3912
O1 O 0.9999 0.7970 0.4571
O2 O 0.0074 0.8366 0.0678
O3 O 0.0136 0.1807 0.5733
O4 O 0.0137 0.1952 0.9548
O5 O 0.1359 0.6707 0.9924
O6 O 0.1391 0.4632 0.4922
O7 O 0.1673 0.6746 0.3790
O8 O 0.1702 0.4890 0.8795
```

Summary:
Calculated total energy ... -7.550 eV/atom